The following is a DFT calculation (PBE) of an optimized crystal structure of Cs2TlW.

Summary:
calculated formation energy = 1.65 eV per atom
E = -2.611 eV/atom
space-group type = I-42d

a b c (Å): 13.525 13.525 13.525
angles (deg): 159.12 159.12 29.70
Last column: magnetic moment on the atom in μB.
Positions (direct):
Cs  0.129  0.625  0.004  -0.02
Cs  0.621  0.125  0.996  -0.02
Cs  0.375  0.379  0.504  -0.02
Cs  0.875  0.871  0.496  -0.02
Tl  0.750  0.250  0.500  -0.07
Tl  0.000  0.000  0.000  -0.07
W  0.250  0.750  0.500  2.90
W  0.500  0.500  0.000  2.90

***

The following is a DFT calculation (PBE) of an optimized crystal structure of CsTl3W.

Summary:
calculated formation energy = 2.12 eV per atom
E = -2.060 eV/atom
space-group type = Pm-3m

a b c (Å): 6.421 6.421 6.421
angles (deg): 90.00 90.00 90.00
Last column: magnetic moment on the atom in μB.
Positions (direct):
Cs  0.000  0.000  0.000  -0.03
Tl  0.000  0.500  0.000  -0.04
Tl  0.000  0.000  0.500  -0.02
Tl  0.500  0.000  0.000  -0.06
W  0.500  0.500  0.500  3.50

***

The following is a DFT calculation (PBE) of an optimized crystal structure of CsTl3W.

Summary:
calculated formation energy = 0.43 eV per atom
E = -3.753 eV/atom
space-group type = Pm-3m

a b c (Å): 5.516 5.516 5.516
angles (deg): 90.00 90.00 90.00
Positions (direct):
Cs  0.500  0.500  0.500
Tl  0.000  0.500  0.000
Tl  0.000  0.000  0.500
Tl  0.500  0.000  0.000
W  0.000  0.000  0.000

***

The following is a DFT calculation (PBE) of an optimized crystal structure of Cs2Tl2W.

Summary:
calculated formation energy = 1.20 eV per atom
E = -2.674 eV/atom
space-group type = I4/mmm

a b c (Å): 4.502 4.502 12.314
angles (deg): 79.47 79.47 90.00
Last column: magnetic moment on the atom in μB.
Positions (direct):
Cs  0.401  0.401  0.197  0.03
Cs  0.599  0.599  0.803  0.03
Tl  0.750  0.250  0.500  0.00
Tl  0.250  0.750  0.500  0.00
W  0.000  0.000  0.000  3.39